First-principles (PBE-GGA) data for crystalline K2AsRh at its relaxed geometry, as listed in Alexandria via LeMat-Bulk.

Unit cell a=5.4125 b=4.0547 c=6.3989 alpha=90.00 beta=115.02 gamma=90.00
Last column: nearest neighbours and their distance in Å.
Atoms (fractional coordinates):
1 K 0.0000 0.0000 0.0000  3 Rh 3.49-3.58, 4 As 3.55
2 K 0.2924 0.5000 0.5847  3 As 3.48-3.56, 4 Rh 3.58
3 As 0.5924 0.5000 0.1853  2 Rh 2.33
4 Rh 0.6918 0.0000 0.3822  2 As 2.33

## Properties
ΔH_f (0 K) = -0.21 eV per atom
size of the total moment = 0.000 μB per formula unit

***

First-principles (PBE-GGA) data for crystalline ErCdSnHg at its relaxed geometry, as listed in Alexandria via LeMat-Bulk.

Unit cell a=4.3435 b=4.5514 c=4.8539 alpha=90.00 beta=90.00 gamma=90.00
Last column: nearest neighbours and their distance in Å.
Atoms (fractional coordinates):
1 Er 0.0000 0.0000 0.0000  4 Sn 3.15, 4 Hg 3.26, 4 Cd 3.33
2 Cd 0.0000 0.5000 0.5000  4 Hg 3.15, 4 Sn 3.26, 4 Er 3.33
3 Sn 0.5000 0.5000 0.0000  4 Er 3.15, 4 Cd 3.26, 4 Hg 3.33
4 Hg 0.5000 0.0000 0.5000  4 Cd 3.15, 4 Er 3.26, 4 Sn 3.33

## Properties
ΔH_f (0 K) = -0.40 eV per atom
size of the total moment = 0.000 μB per formula unit